1.
Entry from Alexandria via LeMat-Bulk: an optimized crystal structure of CaY3Ru (PBE).

The structure in CIF format:
```
data_CaY3Ru
_chemical_formula_sum 'Ca1 Y3 Ru1'
_cell_length_a 4.3698
_cell_length_b 4.3698
_cell_length_c 9.5465
_cell_angle_alpha 90.00
_cell_angle_beta 90.00
_cell_angle_gamma 90.00
_space_group_name_H-M_alt 'P 4 m m'
_space_group_IT_number 99
loop_
_space_group_symop_operation_xyz
'x,y,z'
'-y,x,z'
'-x,-y,z'
'y,-x,z'
'-x,y,z'
'y,x,z'
'x,-y,z'
'-y,-x,z'
loop_
_atom_site_label
_atom_site_fract_x
_atom_site_fract_y
_atom_site_fract_z
_atom_site_occupancy
Ca1 0.0000 0.0000 0.0000 1
Y1 0.0000 0.0000 0.6010 1
Y2 0.0000 0.5000 0.3220 1
Ru1 0.5000 0.5000 0.5139 1
```

Results
Energy above the most stable polymorph in this dataset ... 434 meV/atom
Crystal system ... tetragonal


2.
Entry from Alexandria via LeMat-Bulk: an optimized crystal structure of CaYRu2 (PBE).

The structure in CIF format:
```
data_CaYRu2
_chemical_formula_sum 'Ca2 Y2 Ru4'
_cell_length_a 4.2659
_cell_length_b 4.4526
_cell_length_c 10.1048
_cell_angle_alpha 90.00
_cell_angle_beta 90.00
_cell_angle_gamma 90.00
_space_group_name_H-M_alt 'A m m 2'
_space_group_IT_number 38
loop_
_space_group_symop_operation_xyz
'x,y,z'
'-x,-y,z'
'-x,y,z'
'x,-y,z'
'x,y+1/2,z+1/2'
'-x,-y+1/2,z+1/2'
'-x,y+1/2,z+1/2'
'x,-y+1/2,z+1/2'
loop_
_atom_site_label
_atom_site_fract_x
_atom_site_fract_y
_atom_site_fract_z
_atom_site_occupancy
Ca1 0.0000 0.0000 0.0000 1
Y1 0.5000 0.0000 0.7142 1
Ru1 0.0000 0.0000 0.2989 1
Ru2 0.5000 0.0000 0.3991 1
```

Results
Crystal system ... orthorhombic
DFT total energy ... -6.785 eV per atom


3.
Entry from Alexandria via LeMat-Bulk: an optimized crystal structure of CaYRu2 (PBE).

The structure in CIF format:
```
data_CaYRu2
_chemical_formula_sum 'Ca4 Y4 Ru8'
_cell_length_a 7.5528
_cell_length_b 7.5528
_cell_length_c 5.8592
_cell_angle_alpha 90.00
_cell_angle_beta 90.00
_cell_angle_gamma 90.00
_space_group_name_H-M_alt 'I -4 2 d'
_space_group_IT_number 122
_space_group_name_Hall 'I -4 2bw'
loop_
_atom_site_label
_atom_site_fract_x
_atom_site_fract_y
_atom_site_fract_z
_atom_site_occupancy
Ca1 0.0000 0.0000 0.0000 1
Y1 0.0000 0.0000 0.5000 1
Ru1 0.2459 0.2500 0.6250 1
```

Results
Crystal system ... tetragonal
DFT total energy ... -6.189 eV per atom


4.
Entry from Alexandria via LeMat-Bulk: an optimized crystal structure of Ca2YRu2 (PBE).

The structure in CIF format:
```
data_Ca2YRu2
_chemical_formula_sum 'Ca4 Y2 Ru4'
_cell_length_a 7.0497
_cell_length_b 7.0497
_cell_length_c 4.8605
_cell_angle_alpha 90.00
_cell_angle_beta 90.00
_cell_angle_gamma 90.00
_space_group_name_H-M_alt 'P 4/m b m'
_space_group_IT_number 127
_space_group_name_Hall '-P 4 2ab'
loop_
_atom_site_label
_atom_site_fract_x
_atom_site_fract_y
_atom_site_fract_z
_atom_site_occupancy
Ca1 0.1681 0.3319 0.0000 1
Y1 0.0000 0.0000 0.5000 1
Ru1 0.1227 0.6227 0.5000 1
```

Results
Crystal system ... tetragonal
DFT total energy ... -5.689 eV per atom


5.
Entry from Alexandria via LeMat-Bulk: an optimized crystal structure of CaY3Ru (PBE).

The structure in CIF format:
```
data_CaY3Ru
_chemical_formula_sum 'Ca2 Y6 Ru2'
_cell_length_a 3.5637
_cell_length_b 11.5004
_cell_length_c 7.8095
_cell_angle_alpha 90.00
_cell_angle_beta 103.11
_cell_angle_gamma 90.00
_space_group_name_H-M_alt 'P 1 21/m 1'
_space_group_IT_number 11
loop_
_space_group_symop_operation_xyz
'x,y,z'
'-x,-y,-z'
'-x,y+1/2,-z'
'x,-y+1/2,z'
loop_
_atom_site_label
_atom_site_fract_x
_atom_site_fract_y
_atom_site_fract_z
_atom_site_occupancy
Ca1 0.0288 0.2500 0.0574 1
Y1 0.2525 0.7500 0.5077 1
Y2 0.3677 0.0230 0.7356 1
Ru1 0.3833 0.2500 0.7647 1
```

Results
Energy above the most stable polymorph in this dataset ... 175 meV/atom
Crystal system ... monoclinic


6.
Entry from Alexandria via LeMat-Bulk: an optimized crystal structure of CaY3Ru (PBE).

The structure in CIF format:
```
data_CaY3Ru
_chemical_formula_sum 'Ca2 Y6 Ru2'
_cell_length_a 3.8795
_cell_length_b 8.5896
_cell_length_c 9.4227
_cell_angle_alpha 100.52
_cell_angle_beta 101.49
_cell_angle_gamma 90.16
_space_group_name_H-M_alt 'P -1'
_space_group_IT_number 2
loop_
_space_group_symop_operation_xyz
'x,y,z'
'-x,-y,-z'
loop_
_atom_site_label
_atom_site_fract_x
_atom_site_fract_y
_atom_site_fract_z
_atom_site_occupancy
Ca1 0.0033 0.2947 0.4884 1
Y1 0.2116 0.8348 0.9199 1
Y2 0.3292 0.5228 0.1623 1
Y3 0.3960 0.9363 0.2979 1
Ru1 0.1946 0.2482 0.8867 1
```

Results
Energy above the most stable polymorph in this dataset ... 16 meV/atom
Crystal system ... triclinic


7.
Entry from Alexandria via LeMat-Bulk: an optimized crystal structure of CaYRu2 (PBE).

The structure in CIF format:
```
data_CaYRu2
_chemical_formula_sum 'Ca1 Y1 Ru2'
_cell_length_a 3.1179
_cell_length_b 4.4149
_cell_length_c 6.1783
_cell_angle_alpha 90.00
_cell_angle_beta 98.97
_cell_angle_gamma 90.00
_space_group_name_H-M_alt 'P 1 2/m 1'
_space_group_IT_number 10
loop_
_space_group_symop_operation_xyz
'x,y,z'
'-x,-y,-z'
'-x,y,-z'
'x,-y,z'
loop_
_atom_site_label
_atom_site_fract_x
_atom_site_fract_y
_atom_site_fract_z
_atom_site_occupancy
Ca1 0.0000 0.0000 0.0000 1
Y1 0.5000 0.0000 0.5000 1
Ru1 0.2623 0.5000 0.6934 1
```

Results
Crystal system ... monoclinic
DFT total energy ... -6.516 eV per atom


8.
Entry from Alexandria via LeMat-Bulk: an optimized crystal structure of CaY3Ru (PBE).

The structure in CIF format:
```
data_CaY3Ru
_chemical_formula_sum 'Ca4 Y12 Ru4'
_cell_length_a 9.8144
_cell_length_b 6.2506
_cell_length_c 10.6987
_cell_angle_alpha 90.00
_cell_angle_beta 116.47
_cell_angle_gamma 90.00
_space_group_name_H-M_alt 'P 1 21/c 1'
_space_group_IT_number 14
loop_
_space_group_symop_operation_xyz
'x,y,z'
'-x,-y,-z'
'-x,y+1/2,-z+1/2'
'x,-y+1/2,z+1/2'
loop_
_atom_site_label
_atom_site_fract_x
_atom_site_fract_y
_atom_site_fract_z
_atom_site_occupancy
Ca1 0.1693 0.0442 0.1295 1
Y1 0.1386 0.5768 0.2676 1
Y2 0.2688 0.0428 0.4900 1
Y3 0.4955 0.1413 0.8579 1
Ru1 0.4172 0.6819 0.8655 1
```

Results
Energy above the most stable polymorph in this dataset ... 118 meV/atom
Crystal system ... monoclinic